A plane-wave DFT calculation with PBE-GGA was carried out for a relaxed structure of BaTaIn4.

abc: 6.048 6.048 6.048
angles: 60.00 60.00 60.00
Fractional positions:
Ba 0.000 0.000 0.000
Ta 0.250 0.250 0.250
In 0.127 0.624 0.624
In 0.624 0.127 0.624
In 0.624 0.624 0.127
In 0.624 0.624 0.624

Values from the calculation:
As for the space group: F-43m.

=====

A plane-wave DFT calculation with PBE-GGA was carried out for a relaxed structure of BaTa3In.

abc: 5.244 5.244 5.244
angles: 90.00 90.00 90.00
Fractional positions:
Ba 0.000 0.000 0.000
Ta 0.000 0.500 0.500
Ta 0.500 0.000 0.500
Ta 0.500 0.500 0.000
In 0.500 0.500 0.500

Values from the calculation:
As for the space group: Pm-3m. The distance to the lowest polymorph of the same formula is 0.0 meV/atom.

=====

A plane-wave DFT calculation with PBE-GGA was carried out for a relaxed structure of BaTaIn3.

abc: 5.954 5.954 5.954
angles: 90.00 90.00 90.00
Fractional positions:
Ba 0.000 0.000 0.000
Ta 0.500 0.500 0.500
In 0.000 0.000 0.500
In 0.000 0.500 0.000
In 0.500 0.000 0.000

Values from the calculation:
As for the space group: Pm-3m. The distance to the lowest polymorph of the same formula is 2013.8 meV/atom.

=====

A plane-wave DFT calculation with PBE-GGA was carried out for a relaxed structure of BaTaInW2.

abc: 5.051 5.051 5.095
angles: 90.00 90.00 90.00
Fractional positions:
Ba 0.000 0.000 0.000
Ta 0.000 0.000 0.500
In 0.500 0.500 0.500
W 0.000 0.500 0.000
W 0.500 0.000 0.000

Values from the calculation:
As for the space group: P4/mmm.

=====

A plane-wave DFT calculation with PBE-GGA was carried out for a relaxed structure of BaY2TaIn.

abc: 5.553 5.553 5.972
angles: 90.00 90.00 90.00
Fractional positions:
Ba 0.000 0.000 0.000
Y 0.000 0.500 0.500
Y 0.500 0.000 0.500
Ta 0.000 0.000 0.500
In 0.500 0.500 0.000

Values from the calculation:
As for the space group: P4/mmm.

=====

A plane-wave DFT calculation with PBE-GGA was carried out for a relaxed structure of BaTa2ZnIn.

abc: 4.939 4.939 5.732
angles: 90.00 90.00 90.00
Fractional positions:
Ba 0.000 0.000 0.000
Ta 0.000 0.500 0.500
Ta 0.500 0.000 0.500
Zn 0.000 0.000 0.500
In 0.500 0.500 0.000

Values from the calculation:
As for the space group: P4/mmm.

=====

no.,energy of formation (kJ/mol of formula units),VASP energy (eV per atom)
1,191,-3.792
2,946,-6.083
3,987,-2.351
4,1610,-5.147
5,333,-5.199
6,607,-4.670